# 1
Material: Nd2Er3TmS6
Method: DFT, PBE-GGA
State: relaxed

**ΔE_f (raw)**: -1971.7 meV/atom
**Final energy**: -6.34 eV/atom
**Total moment**: 0.000 μB per atom

Cell: 3.906 7.927 8.791 Å, 103.41 102.84 90.00°
Atoms (fractional coordinates):
1 Nd 0.168 0.336 0.336
2 Nd 0.832 0.664 0.664
3 Er 0.170 0.833 0.339
4 Er 0.830 0.167 0.661
5 Er 0.500 0.500 0.000
6 Tm 0.500 0.000 0.000
7 S 0.338 0.406 0.677
8 S 0.335 0.930 0.671
9 S 0.665 0.070 0.329
10 S 0.995 0.245 0.990
11 S 0.662 0.594 0.323
12 S 0.005 0.755 0.010

---

# 2
Material: BaTiRe2
Method: DFT, PBE-GGA
State: relaxed

**Energy above the most stable polymorph in this dataset**: 0 meV/atom
**Final energy**: -7.62 eV/atom
**Energy of formation from the pure elements**: 1061 meV/atom
**Total moment**: 0.000 μB per atom

Cell: 5.009 5.009 9.403 Å, 74.55 74.55 90.00°
Atoms (fractional coordinates):
1 Re 0.375 0.125 0.250
2 Re 0.875 0.625 0.750
3 Re 0.375 0.625 0.250
4 Re 0.375 0.625 0.750
5 Ti 0.250 0.750 0.500
6 Ti 0.500 0.500 0.000
7 Ba 0.000 0.000 0.000
8 Ba 0.750 0.250 0.500

---

# 3
Material: CuP2PbCl
Method: DFT, PBE-GGA
State: relaxed

**ΔE_f (raw)**: 1149.8 meV/atom
**Energy above the most stable polymorph in this dataset**: 848 meV/atom
**Final energy**: -2.94 eV/atom
**Total moment**: 0.401 μB per atom

Cell: 5.343 5.343 5.379 Å, 90.00 90.00 90.00°
Site moments in Bohr magnetons follow the coordinates.
Atoms (fractional coordinates):
1 Cl 0.000 0.000 0.500  0.06
2 P 0.000 0.500 0.000  0.44
3 P 0.500 0.000 0.000  0.44
4 Cu 0.500 0.500 0.500  0.04
5 Pb 0.000 0.000 0.000  0.00

---

Look up the final energy of the third one. -2.94 eV/atom